No. 1
A plane-wave DFT calculation with PBE was carried out for a relaxed structure of VSnS2.

Fermi-level density of states: 0.676 states/eV per atom
Final energy: -22.8 eV per formula unit
Spin magnetization: 2.30 μB per formula unit

a b c (Å): 6.2903 6.2903 10.0878
angles (deg): 90.00 90.00 90.00
Space group I-42d (No. 122)
Inequivalent atoms, fractional coordinates:
V 0.0000 0.0000 0.0000 (multiplicity 4)
Sn 0.0000 0.0000 0.5000 (multiplicity 4)
S 0.1766 0.2500 0.1250 (multiplicity 8)

---

No. 2
A plane-wave DFT calculation with PBE was carried out for a relaxed structure of Y3Mn2Ga9.

Fermi-level density of states: 0.496 states/eV per atom
Formation energy from the elements: -0.467 eV per atom
Spin magnetization: 5.10 μB per formula unit

a b c (Å): 4.2113 9.4936 12.6966
angles (deg): 90.00 90.00 90.00
Space group Immm (No. 71)
Inequivalent atoms, fractional coordinates:
Y 0.0000 0.0000 0.0000 (multiplicity 2)
Y 0.0000 0.0000 0.2992 (multiplicity 4)
Mn 0.0000 0.1781 0.5000 (multiplicity 4)
Ga 0.0000 0.2846 0.1343 (multiplicity 8)
Ga 0.0000 0.3634 0.3473 (multiplicity 8)
Ga 0.0000 0.5000 0.0000 (multiplicity 2)

---

No. 3
A plane-wave DFT calculation with PBE was carried out for a relaxed structure of Ca14NdMg.

Fermi-level density of states: 1.199 states/eV per atom
Formation energy from the elements: 0.026 eV per atom
Spin magnetization: 0.00 μB per formula unit

a b c (Å): 7.7648 7.7648 10.6242
angles (deg): 90.00 90.00 90.00
Space group P4/mmm (No. 123)
Inequivalent atoms, fractional coordinates:
Ca 0.0000 0.0000 0.0000 (multiplicity 1)
Ca 0.0000 0.5000 0.0000 (multiplicity 2)
Ca 0.0000 0.5000 0.5000 (multiplicity 2)
Ca 0.2474 0.2474 0.2605 (multiplicity 8)
Ca 0.5000 0.5000 0.0000 (multiplicity 1)
Nd 0.5000 0.5000 0.5000 (multiplicity 1)
Mg 0.0000 0.0000 0.5000 (multiplicity 1)

---

No. 4
A plane-wave DFT calculation with PBE was carried out for a relaxed structure of Ca3Ce3PmTe8.

Fermi-level density of states: 1.754 states/eV per atom
Final energy: -75.7 eV per formula unit
Spin magnetization: 4.02 μB per formula unit

a b c (Å): 8.9678 8.9678 22.2806
angles (deg): 90.00 90.00 120.00
Space group R-3m (No. 166, hexagonal axes)
Inequivalent atoms, fractional coordinates:
Ca 0.0000 0.5000 0.0000 (multiplicity 9)
Ce 0.0000 0.5000 0.5000 (multiplicity 9)
Pm 0.0000 0.0000 0.5000 (multiplicity 3)
Te 0.0000 0.0000 0.2518 (multiplicity 6)
Te 0.9998 0.4999 0.2507 (multiplicity 18)

---

No. 5
A plane-wave DFT calculation with PBE was carried out for a relaxed structure of Ce2Ga3Cu.

Energy above the lowest structure with this stoichiometry: 1 meV per atom
Fermi-level density of states: 1.697 states/eV per atom
Formation energy from the elements: -0.487 eV per atom
Spin magnetization: 1.50 μB per formula unit

a b c (Å): 7.4841 8.8554 15.3420
angles (deg): 90.00 90.00 90.00
Space group Fmmm (No. 69)
Inequivalent atoms, fractional coordinates:
Ce 0.2428 0.0000 0.0000 (multiplicity 8)
Ce 0.2500 0.2500 0.2500 (multiplicity 8)
Ga 0.0000 0.0000 0.3315 (multiplicity 8)
Ga 0.0000 0.2488 0.0847 (multiplicity 16)
Cu 0.0000 0.0000 0.1673 (multiplicity 8)

---

No. 6
A plane-wave DFT calculation with PBE was carried out for a relaxed structure of TbZr2CuN4.

Fermi-level density of states: 0.063 states/eV per atom
Final energy: -69.0 eV per formula unit
Spin magnetization: 0.00 μB per formula unit

a b c (Å): 3.2853 10.8718 11.2082
angles (deg): 90.00 90.00 90.00
Space group Cmcm (No. 63)
Inequivalent atoms, fractional coordinates:
Tb 0.0000 0.1077 0.2500 (multiplicity 4)
Zr 0.0000 0.3672 0.0563 (multiplicity 8)
Cu 0.0000 0.1552 0.7500 (multiplicity 4)
N 0.0000 0.0000 0.0000 (multiplicity 4)
N 0.0000 0.2684 0.6119 (multiplicity 8)
N 0.0000 0.4559 0.2500 (multiplicity 4)

---

> What is the spin magnetization in the fourth record?

4.02 μB per formula unit